No. 1
Ca6Ac8Pm (PBE-GGA, relaxed); D(E_F) = 22.20 states/eV/f.u.; energy relative to the elements = 0.177 eV per atom; symmetry = P-3, No. 147; M_tot = 0.0 μB/cell
1.0
10.7689 0.0000 0.0000
-5.3845 9.3262 0.0000
0.0000 0.0000 6.5783
Ca Ac Pm
6 8 1
Cartesian
-2.3239 5.8011 1.7156
1.5225 4.4130 1.7156
4.5830 0.8880 4.8627
0.8014 8.4382 1.7156
3.8620 4.9131 4.8627
7.7084 3.5250 4.8627
-3.6599 7.3027 5.0471
0.8901 2.5053 5.0471
2.6147 0.4818 1.5312
0.0000 6.2175 5.0494
5.3845 3.1087 1.5288
2.7698 8.8443 5.0471
4.4944 6.8209 1.5312
9.0443 2.0235 1.5312
0.0000 0.0000 3.2891

No. 2
Ca3Ac12Pm (PBE-GGA, relaxed); D(E_F) = 22.77 states/eV/f.u.; energy relative to the elements = 0.023 eV per atom; symmetry = P4/mmm, No. 123; M_tot = 0.0 μB/cell
1.0
5.5852 0.0000 0.0000
0.0000 5.5852 0.0000
0.0000 0.0000 22.3181
Ca Ac Pm
3 12 1
Cartesian
0.0000 0.0000 0.0000
0.0000 0.0000 5.6103
0.0000 0.0000 16.7078
0.0000 2.7926 2.8087
0.0000 2.7926 8.4480
0.0000 2.7926 13.8701
0.0000 2.7926 19.5094
2.7926 0.0000 2.8087
2.7926 0.0000 8.4480
2.7926 0.0000 13.8701
2.7926 0.0000 19.5094
2.7926 2.7926 0.0000
2.7926 2.7926 5.6069
2.7926 2.7926 11.1591
2.7926 2.7926 16.7112
0.0000 0.0000 11.1591